No. 1
Entry from Alexandria via LeMat-Bulk: an optimized crystal structure of VPt3I (GGA-PBE).

Calculated values
* E_form (uncorrected): 0.87 eV/atom
* total magnetic moment: 0.0002 μB/atom

Unit cell a=4.740 b=4.740 c=4.740 alpha=90.00 beta=90.00 gamma=90.00
Fractional positions:
V  0.000  0.000  0.000
Pt  0.000  0.000  0.500
Pt  0.000  0.500  0.000
Pt  0.500  0.000  0.000
I  0.500  0.500  0.500

---

No. 2
Entry from Alexandria via LeMat-Bulk: an optimized crystal structure of Li2In4Hg3 (GGA-PBE).

Calculated values
* calculated formation energy: -0.12 eV per atom
* total magnetic moment: 0.0000 μB/atom

Unit cell a=5.197 b=5.212 c=9.456 alpha=84.98 beta=76.57 gamma=60.83
Fractional positions:
Li  0.053  0.184  0.317
Li  0.947  0.816  0.683
In  0.290  0.162  0.644
In  0.363  0.828  0.935
In  0.637  0.172  0.065
In  0.710  0.838  0.356
Hg  0.000  0.500  0.000
Hg  0.352  0.543  0.355
Hg  0.648  0.457  0.645

---

No. 3
Entry from Alexandria via LeMat-Bulk: an optimized crystal structure of Pr2Te3 (GGA-PBE).

Calculated values
* E_form (uncorrected): -1.46 eV/atom
* total magnetic moment: 0.0000 μB/atom

Unit cell a=15.939 b=15.939 c=15.939 alpha=145.02 beta=145.02 gamma=50.31
Fractional positions:
Pr  0.047  0.161  0.627
Pr  0.168  0.168  0.000
Pr  0.170  0.784  0.873
Pr  0.216  0.089  0.386
Pr  0.256  0.625  0.131
Pr  0.375  0.506  0.631
Pr  0.494  0.125  0.869
Pr  0.534  0.420  0.373
Pr  0.580  0.953  0.114
Pr  0.582  0.082  0.500
Pr  0.703  0.830  0.614
Pr  0.832  0.832  0.000
Pr  0.839  0.466  0.886
Pr  0.875  0.744  0.369
Pr  0.911  0.297  0.127
Pr  0.918  0.418  0.500
Te  0.007  0.760  0.902
Te  0.072  0.470  0.247
Te  0.175  0.928  0.398
Te  0.185  0.440  0.094
Te  0.190  0.435  0.594
Te  0.220  0.322  0.747
Te  0.223  0.825  0.753
Te  0.240  0.142  0.247
Te  0.346  0.091  0.906
Te  0.404  0.810  0.245
Te  0.510  0.257  0.402
Te  0.527  0.780  0.102
Te  0.530  0.777  0.602
Te  0.560  0.654  0.745
Te  0.565  0.159  0.755
Te  0.575  0.473  0.253
Te  0.678  0.425  0.898
Te  0.743  0.145  0.253
Te  0.841  0.596  0.406
Te  0.855  0.108  0.598
Te  0.858  0.105  0.098
Te  0.892  0.490  0.747
Te  0.895  0.993  0.753
Te  0.909  0.815  0.255